Crystalline SiTc at its relaxed geometry, computed with GGA-PBE.

* formation energy without anion corrections: -0.3001 eV/atom

Cell: 5.2499 5.2499 5.2499 Å, 147.05 135.85 56.18°
Last column: nearest neighbours and their distance in Å.
Fractional coordinates of all 4 atoms:
1 Si 0.3625 0.6125 0.2500  6 Tc 2.47-2.64
2 Si 0.6375 0.3875 0.7500  6 Tc 2.47-2.64
3 Tc 0.8730 0.1230 0.2500  6 Si 2.47-2.64
4 Tc 0.1270 0.8770 0.7500  6 Si 2.47-2.64

Crystalline SiTc2 at its relaxed geometry, computed with GGA-PBE.

* formation energy without anion corrections: -0.2701 eV/atom

Cell: 4.0575 5.8078 7.1833 Å, 90.00 90.00 90.00°
Last column: nearest neighbours and their distance in Å.
Fractional coordinates of all 12 atoms:
1 Tc 0.7500 0.3619 0.9465  4 Si 2.42-2.50, 2 Tc 2.70
2 Tc 0.7500 0.8619 0.5535  4 Si 2.42-2.50, 2 Tc 2.70
3 Tc 0.2500 0.6381 0.0535  4 Si 2.42-2.50, 2 Tc 2.70
4 Tc 0.2500 0.1381 0.4465  4 Si 2.42-2.50, 2 Tc 2.70
5 Tc 0.7500 0.9932 0.1841  3 Si 2.48-2.51, 2 Tc 2.74-2.76
6 Tc 0.2500 0.5068 0.6841  3 Si 2.48-2.51, 2 Tc 2.74-2.76
7 Tc 0.2500 0.0068 0.8159  3 Si 2.48-2.51, 2 Tc 2.74-2.76
8 Tc 0.7500 0.4932 0.3159  3 Si 2.48-2.51, 2 Tc 2.74-2.76
9 Si 0.7500 0.2746 0.6175  7 Tc 2.42-2.51
10 Si 0.2500 0.2254 0.1175  7 Tc 2.42-2.51
11 Si 0.7500 0.7746 0.8825  7 Tc 2.42-2.51
12 Si 0.2500 0.7254 0.3825  7 Tc 2.42-2.51

Crystalline SiTc2 at its relaxed geometry, computed with GGA-PBE.

* formation energy without anion corrections: -0.2117 eV/atom

Cell: 4.5258 4.5258 4.5258 Å, 143.53 130.04 63.42°
Last column: nearest neighbours and their distance in Å.
Fractional coordinates of all 3 atoms:
1 Tc 0.6638 0.6638 0.0000  5 Tc 2.52-2.72, 5 Si 2.59-2.69
2 Tc 0.3362 0.3362 0.0000  5 Tc 2.52-2.72, 5 Si 2.59-2.69
3 Si 0.0000 0.0000 0.0000  10 Tc 2.59-2.69, 2 Si 2.83

Crystalline SiTc5 at its relaxed geometry, computed with GGA-PBE.

* formation energy without anion corrections: -0.1421 eV/atom

Cell: 2.9132 4.3548 7.0314 Å, 108.04 90.00 90.00°
Last column: nearest neighbours and their distance in Å.
Fractional coordinates of all 6 atoms:
1 Tc 0.5000 0.5000 0.0000  4 Si 2.62, 6 Tc 2.84-2.91
2 Tc 0.5000 0.8521 0.7043  2 Si 2.46, 6 Tc 2.66-2.70
3 Tc 0.0000 0.6820 0.3641  12 Tc 2.66-2.91
4 Tc 0.5000 0.1479 0.2957  2 Si 2.46, 6 Tc 2.66-2.70
5 Tc 0.0000 0.3180 0.6359  12 Tc 2.66-2.91
6 Si 0.0000 0.0000 0.0000  8 Tc 2.46-2.62

Crystalline SiTc2 at its relaxed geometry, computed with GGA-PBE.

* formation energy without anion corrections: -0.3344 eV/atom

Cell: 4.7896 4.7896 4.7896 Å, 104.46 104.46 120.05°
Last column: nearest neighbours and their distance in Å.
Fractional coordinates of all 6 atoms:
1 Tc 0.1513 0.6513 0.8026  1 Tc 2.51, 4 Si 2.53
2 Tc 0.3487 0.1513 0.5000  1 Tc 2.51, 4 Si 2.53
3 Tc 0.6513 0.8487 0.5000  1 Tc 2.51, 4 Si 2.53
4 Tc 0.8487 0.3487 0.1974  1 Tc 2.51, 4 Si 2.53
5 Si 0.7500 0.7500 0.0000  2 Si 2.39, 8 Tc 2.53
6 Si 0.2500 0.2500 0.0000  2 Si 2.39, 8 Tc 2.53

Crystalline SiTc at its relaxed geometry, computed with GGA-PBE.

* formation energy without anion corrections: -0.4183 eV/atom

Cell: 4.6244 5.3783 2.9647 Å, 74.00 71.30 50.60°
Last column: nearest neighbours and their distance in Å.
Fractional coordinates of all 4 atoms:
1 Si 0.8753 0.6244 0.7502  7 Tc 2.49-2.68, 2 Si 2.69
2 Si 0.0414 0.9589 0.9998  7 Tc 2.49-2.68, 2 Si 2.69
3 Tc 0.5307 0.4772 0.4961  7 Si 2.49-2.68, 2 Tc 2.78
4 Tc 0.3860 0.1062 0.2539  7 Si 2.49-2.68, 2 Tc 2.78